Entry from Alexandria via LeMat-Bulk: an optimized crystal structure of Mg3Cd (PBE).

Values from the calculation:
For the total magnetic moment, the calculation gives 0.0 μB per cell. The value obtained for the formation energy is -61 meV per atom. Its space group is No. 25. As for the electronic total energy: -5.94 eV per formula unit.

abc: 3.2657 5.0855 5.3249
angles: 90.00 90.00 90.00
With the nearest neighbours (Å) after each atom.
Fractional positions:
Mg 0.0000 0.0000 0.0000  8 Mg 3.11-3.27, 4 Cd 3.13
Mg 0.0000 0.5000 0.3499  4 Cd 3.11-3.14, 8 Mg 3.13-3.27
Mg 0.5000 0.0000 0.5020  10 Mg 3.11-3.27, 2 Cd 3.13
Cd 0.5000 0.5000 0.8462  10 Mg 3.11-3.14, 2 Cd 3.27

=====

Entry from Alexandria via LeMat-Bulk: an optimized crystal structure of P2RhS2 (PBE).

Values from the calculation:
For the total magnetic moment, the calculation gives 0.0 μB per cell. Its space group is No. 123. As for the uncorrected formation energy: 0.819 eV per atom. As for the electronic total energy: -22.33 eV per formula unit.

abc: 4.5168 4.5168 4.7680
angles: 90.00 90.00 90.00
With the nearest neighbours (Å) after each atom.
Fractional positions:
P 0.0000 0.5000 0.0000  2 Rh 2.26
P 0.5000 0.0000 0.0000  2 Rh 2.26
Rh 0.0000 0.0000 0.0000  4 P 2.26, 2 S 2.38
S 0.0000 0.0000 0.5000  2 Rh 2.38
S 0.5000 0.5000 0.5000  4 S 3.19, 8 P 3.28

=====

Entry from Alexandria via LeMat-Bulk: an optimized crystal structure of Dy6TeO12 (PBE).

Values from the calculation:
For the total magnetic moment, the calculation gives 0.0 μB per cell. Its space group is No. 148. As for the uncorrected formation energy: -3.139 eV per atom. As for the electronic total energy: -149.89 eV per formula unit.

abc: 6.4959 6.4959 6.4959
angles: 98.68 98.68 98.68
With the nearest neighbours (Å) after each atom.
Fractional positions:
Dy 0.1101 0.6451 0.8157  6 O 2.21-2.44
Dy 0.1843 0.8899 0.3549  6 O 2.21-2.44
Dy 0.3549 0.1843 0.8899  6 O 2.21-2.44
Dy 0.6451 0.8157 0.1101  6 O 2.21-2.44
Dy 0.8157 0.1101 0.6451  6 O 2.21-2.44
Dy 0.8899 0.3549 0.1843  6 O 2.21-2.44
Te 0.5000 0.5000 0.5000  6 O 1.97
O 0.0666 0.3226 0.9076  4 Dy 2.21-2.29
O 0.0924 0.9334 0.6774  4 Dy 2.21-2.29
O 0.2024 0.5346 0.4285  1 Te 1.97
O 0.3226 0.9076 0.0666  4 Dy 2.21-2.29
O 0.4285 0.2024 0.5346  1 Te 1.97
O 0.4654 0.5715 0.7976  1 Te 1.97
O 0.5346 0.4285 0.2024  1 Te 1.97
O 0.5715 0.7976 0.4654  1 Te 1.97
O 0.6774 0.0924 0.9334  4 Dy 2.21-2.29
O 0.7976 0.4654 0.5715  1 Te 1.97
O 0.9076 0.0666 0.3226  4 Dy 2.21-2.29
O 0.9334 0.6774 0.0924  4 Dy 2.21-2.29

=====

Entry from Alexandria via LeMat-Bulk: an optimized crystal structure of HgPt2Rh (PBE).

Values from the calculation:
For the total magnetic moment, the calculation gives 0.6 μB per cell. The value obtained for the formation energy is 83 meV per atom. Its space group is No. 99. As for the electronic total energy: -19.40 eV per formula unit.

abc: 2.8642 2.8642 8.0504
angles: 90.00 90.00 90.00
With the nearest neighbours (Å) after each atom.
Fractional positions:
Hg 0.0000 0.0000 0.0000  4 Hg 2.86, 4 Rh 2.92, 4 Pt 2.97
Pt 0.0000 0.0000 0.5131  4 Rh 2.72, 8 Pt 2.81-2.86
Pt 0.5000 0.5000 0.2704  8 Pt 2.81-2.86, 4 Hg 2.97
Rh 0.5000 0.5000 0.7393  4 Pt 2.72, 4 Rh 2.86, 4 Hg 2.92

=====

Calculated density, respectively: 3.48 3.91 8.16 17.44 g cm⁻³.